## RbCa2NiF8 (GGA+U)

Data for RbCa2NiF8 after structural relaxation.

Lattice parameters (Å, degrees): 5.128 5.137 7.331 89.45 89.15 88.66
Atoms (fractional coordinates):
Rb (0.000, 0.000, 0.000)
Ca (0.499, 0.499, 0.257)
Ca (0.501, 0.501, 0.743)
Ni (0.000, 0.000, 0.500)
F (0.204, 0.827, 0.680)
F (0.213, 0.836, 0.318)
F (0.257, 0.292, 0.502)
F (0.281, 0.405, 0.002)
F (0.719, 0.595, 0.998)
F (0.743, 0.708, 0.498)
F (0.787, 0.164, 0.682)
F (0.796, 0.173, 0.320)

Volume = 16.085 Å³/atom
E_tot = -4.8173 eV per atom
ρ = 3237 kg/m³
Magnetization = 3.0 μB per cell